# 1
Density functional theory data (PBE-GGA) for a relaxed structure of Sr2SiAsPd6.

Summary:
- crystal system = triclinic
- uncorrected formation energy (eV per formula unit) = -6.8

a = 6.6617 Å, b = 6.8027 Å, c = 5.8229 Å
α = 64.60°, β = 64.05°, γ = 87.42°
Atoms (fractional coordinates):
Pd (0.2241, 0.2824, 0.4915)
Pd (0.7752, 0.7182, 0.9980)
Pd (0.1554, 0.6486, 0.0972)
Pd (0.7759, 0.7176, 0.5085)
Pd (0.2248, 0.2818, 0.0020)
Pd (0.8446, 0.3514, 0.9029)
Si (0.5000, 0.5000, 0.0000)
Sr (0.2931, 0.7918, 0.4569)
Sr (0.7069, 0.2082, 0.5431)
As (0.0000, 0.0000, 0.0000)

# 2
Density functional theory data (PBE-GGA) for a relaxed structure of ZrSiAsPd2.

Summary:
- crystal system = tetragonal
- uncorrected formation energy (eV per formula unit) = 0.6

a = 4.5737 Å, b = 5.0866 Å, c = 4.5737 Å
α = 90.00°, β = 90.00°, γ = 90.00°
Atoms (fractional coordinates):
As (0.0000, 0.0000, 0.0000)
Pd (0.5000, 0.0000, 0.0000)
Pd (0.0000, 0.0000, 0.5000)
Zr (0.0000, 0.5000, 0.0000)
Si (0.5000, 0.5000, 0.5000)

# 3
Density functional theory data (PBE-GGA) for a relaxed structure of SmAs4Pd6.

Summary:
- crystal system = hexagonal
- formation enthalpy at 0 K (eV/atom) = -0.57

a = 4.0454 Å, b = 7.3984 Å, c = 7.3984 Å
α = 120.00°, β = 90.00°, γ = 90.00°
Atoms (fractional coordinates):
Pd (0.5000, 0.1976, 0.8024)
Pd (0.5000, 0.6048, 0.8024)
Pd (0.0000, 0.5354, 0.4646)
Pd (0.5000, 0.1976, 0.3952)
Pd (0.0000, 0.5354, 0.0708)
Pd (0.0000, 0.9292, 0.4646)
Sm (0.0000, 0.0000, 0.0000)
As (0.0000, 0.3333, 0.6667)
As (0.5000, 0.8117, 0.6235)
As (0.5000, 0.3765, 0.1883)
As (0.5000, 0.8117, 0.1883)